Crystalline KZnSi at its relaxed geometry. Source: Alexandria via LeMat-Bulk, functional PBE.

Lattice parameters (Å, degrees): 3.8948 6.2252 7.0464 95.74 105.90 108.21
With the nearest neighbours (Å) after each atom.
Space group P1 (No. 1)
One atom of each set of equivalent atoms:
K  0.0000  0.0000  0.0000 [1 per cell]  4 Si 3.45-3.69, 1 K 3.48, 5 Zn 3.49-3.65
K  0.4180  0.5724  0.2599 [1 per cell]  4 Zn 3.33-3.71, 1 K 3.48, 5 Si 3.51-3.57
Zn  0.1330  0.6024  0.6629 [1 per cell]  2 Si 2.48-2.59, 2 Zn 2.59
Zn  0.5866  0.3813  0.7905 [1 per cell]  1 Si 2.47, 2 Zn 2.59
Si  0.2842  0.9903  0.5768 [1 per cell]  2 Si 2.43, 2 Zn 2.47-2.48
Si  0.8230  0.1778  0.4667 [1 per cell]  2 Si 2.43, 1 Zn 2.59

Summary:
density of states at the Fermi level: 1.9 states/eV/cell
energy relative to the elements, uncorrected: 0.025 eV per atom
energy above the lowest structure with this stoichiometry: 0 meV/atom